Ho6AlAu2 after structural relaxation, computed with PBE-GGA.

Output
Symmetry ... No. 71

Unit cell a=8.552 b=8.552 c=8.552 alpha=111.80 beta=110.96 gamma=105.72
Fractional positions:
Ho: 0.039 0.827 0.212
Ho: 0.243 0.546 0.303
Ho: 0.243 0.939 0.697
Ho: 0.277 0.320 0.597
Ho: 0.277 0.680 0.957
Ho: 0.385 0.173 0.212
Ho: 0.615 0.827 0.788
Ho: 0.723 0.320 0.043
Ho: 0.723 0.680 0.403
Ho: 0.757 0.061 0.303
Ho: 0.757 0.454 0.697
Ho: 0.961 0.173 0.788
Al: 0.000 0.500 0.500
Al: 0.500 0.000 0.500
Au: 0.000 0.157 0.157
Au: 0.000 0.843 0.843
Au: 0.364 0.364 0.000
Au: 0.636 0.636 0.000

***

HoAlAu2 after structural relaxation, computed with PBE-GGA.

Output
Symmetry ... No. 62

Unit cell a=7.784 b=7.162 c=5.714 alpha=90.00 beta=90.00 gamma=90.00
Fractional positions:
Ho: 0.044 0.250 0.152
Ho: 0.456 0.750 0.652
Ho: 0.544 0.250 0.348
Ho: 0.956 0.750 0.848
Al: 0.111 0.750 0.351
Al: 0.389 0.250 0.851
Al: 0.611 0.750 0.149
Al: 0.889 0.250 0.649
Au: 0.182 0.047 0.599
Au: 0.182 0.453 0.599
Au: 0.318 0.547 0.099
Au: 0.318 0.953 0.099
Au: 0.682 0.047 0.901
Au: 0.682 0.453 0.901
Au: 0.818 0.547 0.401
Au: 0.818 0.953 0.401

***

Ho3Al6Au5 after structural relaxation, computed with PBE-GGA.

Output
Symmetry ... No. 59

Unit cell a=4.354 b=12.877 c=9.592 alpha=90.00 beta=90.00 gamma=90.00
Fractional positions:
Ho: 0.250 0.051 0.247
Ho: 0.250 0.449 0.247
Ho: 0.250 0.750 0.249
Ho: 0.750 0.250 0.751
Ho: 0.750 0.551 0.753
Ho: 0.750 0.949 0.753
Al: 0.250 0.076 0.597
Al: 0.250 0.250 0.043
Al: 0.250 0.250 0.426
Al: 0.250 0.424 0.597
Al: 0.250 0.597 0.981
Al: 0.250 0.903 0.981
Al: 0.750 0.097 0.019
Al: 0.750 0.403 0.019
Al: 0.750 0.576 0.403
Al: 0.750 0.750 0.574
Al: 0.750 0.750 0.957
Al: 0.750 0.924 0.403
Au: 0.250 0.095 0.868
Au: 0.250 0.405 0.868
Au: 0.250 0.626 0.529
Au: 0.250 0.750 0.792
Au: 0.250 0.874 0.529
Au: 0.750 0.126 0.471
Au: 0.750 0.250 0.208
Au: 0.750 0.374 0.471
Au: 0.750 0.595 0.132
Au: 0.750 0.905 0.132

***

Ho7Al5Au after structural relaxation, computed with PBE-GGA.

Output
Symmetry ... No. 44

Unit cell a=7.805 b=7.805 c=7.805 alpha=132.86 beta=103.17 gamma=95.28
Fractional positions:
Ho: 0.000 0.000 0.000
Ho: 0.095 0.791 0.303
Ho: 0.377 0.377 0.000
Ho: 0.488 0.791 0.697
Ho: 0.545 0.045 0.500
Ho: 0.630 0.297 0.333
Ho: 0.964 0.297 0.667
Al: 0.051 0.551 0.500
Al: 0.296 0.320 0.536
Al: 0.296 0.759 0.976
Al: 0.784 0.320 0.024
Al: 0.784 0.759 0.464
Au: 0.689 0.689 0.000

***

Number 1: calculated formation energy -0.469 eV per atom, Fermi-level density of states 0.94 states/eV per atom. Number 2: calculated formation energy -0.738 eV per atom, Fermi-level density of states 0.45 states/eV per atom. Number 3: calculated formation energy -0.694 eV per atom, Fermi-level density of states 0.48 states/eV per atom. Number 4: calculated formation energy -0.257 eV per atom, Fermi-level density of states 0.70 states/eV per atom.